(1)
A relaxed structure of Zr3N3O. Source: the Alexandria database, functional PBE-GGA.

As for the density of states at the Fermi level: 1.7 states/eV/f.u. The total magnetization comes out at 0.00 μB/cell. For the uncorrected formation energy, the calculation gives -1.710 eV/atom.

The structure belongs to space group P2_1/c (No. 14); the cell edges are 6.613, 5.660 and 9.972 Å and the angles 90.00°, 91.91° and 90.00°. The asymmetric unit holds Zr at (0.119, 0.045, 0.306), Zr at (0.211, 0.564, 0.474), Zr at (0.350, 0.041, 0.644), N at (0.078, 0.239, 0.099), N at (0.160, 0.750, 0.170), N at (0.361, 0.169, 0.840) and O at (0.354, 0.615, 0.931).

(2)
A relaxed structure of Zr8N3O2. Source: the Alexandria database, functional PBE-GGA.

As for the density of states at the Fermi level: 6.5 states/eV/f.u. The total magnetization comes out at 0.00 μB/cell. For the uncorrected formation energy, the calculation gives -1.601 eV/atom.

The structure belongs to space group C2/m (No. 12); the cell edges are 10.570, 6.570 and 5.651 Å and the angles 90.00°, 90.75° and 90.00°. The asymmetric unit holds Zr at (0.121, 0.000, 0.166), Zr at (0.121, 0.500, 0.172), Zr at (0.124, 0.255, 0.670), N at (0.000, 0.252, 0.000), N at (0.000, 0.500, 0.500) and O at (0.241, 0.000, 0.506).

(3)
A relaxed structure of Zr8NO3. Source: the Alexandria database, functional PBE-GGA.

As for the density of states at the Fermi level: 5.8 states/eV/f.u. The total magnetization comes out at 0.00 μB/cell. For the uncorrected formation energy, the calculation gives -1.590 eV/atom.

The structure belongs to space group C2/m (No. 12); the cell edges are 10.414, 6.621 and 7.734 Å and the angles 90.00°, 132.24° and 90.00°. The asymmetric unit holds Zr at (0.043, 0.246, 0.336), Zr at (0.204, 0.000, 0.166), Zr at (0.210, 0.500, 0.172), N at (0.000, 0.000, 0.500), O at (0.000, 0.500, 0.500) and O at (0.250, 0.250, 0.000).

(4)
A relaxed structure of OsN2. Source: the Alexandria database, functional PBE-GGA.

As for the density of states at the Fermi level: 0.8 states/eV/f.u. The total magnetization comes out at 0.00 μB/cell. For the uncorrected formation energy, the calculation gives 0.288 eV/atom. Its energy above the lowest structure with this stoichiometry is 0 meV/atom.

The structure belongs to space group P6/mmm (No. 191); the cell edges are 2.8356, 2.8356 and 4.9560 Å and the angles 90.00°, 90.00° and 120.00°. The asymmetric unit holds Os at (0.0000, 0.0000, 0.0000) and N at (0.0000, 0.0000, 0.3836).

(5)
A relaxed structure of OsN. Source: the Alexandria database, functional PBE-GGA.

As for the density of states at the Fermi level: 1.2 states/eV/f.u. The total magnetization comes out at 0.00 μB/cell. For the uncorrected formation energy, the calculation gives 0.672 eV/atom. Its energy above the lowest structure with this stoichiometry is 258 meV/atom.

The structure belongs to space group P4/m (No. 83); the cell edges are 9.115, 9.115 and 2.750 Å and the angles 90.00°, 90.00° and 90.00°. The asymmetric unit holds Os at (0.086, 0.380, 0.000), Os at (0.261, 0.703, 0.500), N at (0.105, 0.705, 0.000) and N at (0.223, 0.477, 0.500).

(6)
A relaxed structure of OsN. Source: the Alexandria database, functional PBE-GGA.

As for the density of states at the Fermi level: 2.0 states/eV/f.u. The total magnetization comes out at 0.00 μB/cell. For the uncorrected formation energy, the calculation gives 0.618 eV/atom. Its energy above the lowest structure with this stoichiometry is 204 meV/atom.

The structure belongs to space group I4/m (No. 87); the cell edges are 8.220, 8.220 and 2.801 Å and the angles 90.00°, 90.00° and 90.00°. The asymmetric unit holds Os at (0.079, 0.216, 0.000) and N at (0.136, 0.675, 0.000).

(7)
A relaxed structure of OsN. Source: the Alexandria database, functional PBE-GGA.

As for the density of states at the Fermi level: 0.8 states/eV/f.u. The total magnetization comes out at 0.00 μB/cell. For the uncorrected formation energy, the calculation gives 0.763 eV/atom. Its energy above the lowest structure with this stoichiometry is 349 meV/atom.

The structure belongs to space group Pmn2_1 (No. 31); the cell edges are 8.208, 3.692 and 5.144 Å and the angles 90.00°, 90.00° and 90.00°. The asymmetric unit holds Os at (0.000, 0.105, 0.000), Os at (0.229, 0.627, 0.742), N at (0.000, 0.487, 0.763) and N at (0.207, 0.869, 0.103).

(8)
A relaxed structure of OsN. Source: the Alexandria database, functional PBE-GGA.

As for the density of states at the Fermi level: 1.4 states/eV/f.u. The total magnetization comes out at 0.00 μB/cell. For the uncorrected formation energy, the calculation gives 0.652 eV/atom. Its energy above the lowest structure with this stoichiometry is 239 meV/atom.

The structure belongs to space group P6_3/m (No. 176); the cell edges are 8.1974, 8.1974 and 2.8297 Å and the angles 90.00°, 90.00° and 120.00°. The asymmetric unit holds Os at (0.1193, 0.6484, 0.2500) and N at (0.0727, 0.3785, 0.2500).

(9)
A relaxed structure of OsN. Source: the Alexandria database, functional PBE-GGA.

As for the density of states at the Fermi level: 0.7 states/eV/f.u. The total magnetization comes out at 0.00 μB/cell. For the uncorrected formation energy, the calculation gives 0.433 eV/atom. Its energy above the lowest structure with this stoichiometry is 19 meV/atom.

The structure belongs to space group R3m (No. 160, hexagonal axes); the cell edges are 2.7771, 2.7771 and 9.9813 Å and the angles 90.00°, 90.00° and 120.00°. The asymmetric unit holds Os at (0.0000, 0.0000, 0.0000) and N at (0.0000, 0.0000, 0.7916).

(10)
A relaxed structure of OsN. Source: the Alexandria database, functional PBE-GGA.

As for the density of states at the Fermi level: 1.1 states/eV/f.u. The total magnetization comes out at 0.00 μB/cell. For the uncorrected formation energy, the calculation gives 0.711 eV/atom. Its energy above the lowest structure with this stoichiometry is 297 meV/atom.

The structure belongs to space group P-6m2 (No. 187); the cell edges are 3.2953, 3.2953 and 2.8354 Å and the angles 90.00°, 90.00° and 120.00°. The asymmetric unit holds Os at (0.0000, 0.0000, 0.0000) and N at (0.3333, 0.6667, 0.0000).

(11)
A relaxed structure of OsN. Source: the Alexandria database, functional PBE-GGA.

As for the density of states at the Fermi level: 0.9 states/eV/f.u. The total magnetization comes out at 0.00 μB/cell. For the uncorrected formation energy, the calculation gives 0.709 eV/atom. Its energy above the lowest structure with this stoichiometry is 295 meV/atom.

The structure belongs to space group Pmmn (No. 59, origin choice 2); the cell edges are 2.829, 9.913 and 5.426 Å and the angles 90.00°, 90.00° and 90.00°. The asymmetric unit holds Os at (0.250, 0.110, 0.063), Os at (0.250, 0.750, 0.411), N at (0.250, 0.250, 0.333) and N at (0.250, 0.588, 0.209).

(12)
A relaxed structure of OsN. Source: the Alexandria database, functional PBE-GGA.

As for the density of states at the Fermi level: 1.5 states/eV/f.u. The total magnetization comes out at 0.00 μB/cell. For the uncorrected formation energy, the calculation gives 1.071 eV/atom. Its energy above the lowest structure with this stoichiometry is 657 meV/atom.

The structure belongs to space group I-43m (No. 217); the cell edges are 6.325, 6.325 and 6.325 Å and the angles 90.00°, 90.00° and 90.00°. The asymmetric unit holds Os at (0.149, 0.149, 0.851) and N at (0.174, 0.174, 0.174).